Here is a crystal of Zr7As4 relaxed with PBEsol from Alexandria via LeMat-Bulk. Energies are from meta-GGA SCAN.

Output
**Energy**: -27.990 eV per atom
**SG**: C2/m, No. 12

abc: 8.271 8.271 14.953
angles: 104.35 104.35 25.57
Element x y z (fractional)
Zr1 0.000 0.000 0.000
Zr2 0.002 0.002 0.664
Zr3 0.179 0.179 0.544
Zr4 0.196 0.196 0.308
Zr5 0.206 0.206 0.796
Zr6 0.338 0.338 0.033
Zr7 0.430 0.430 0.832
Zr8 0.500 0.500 0.500
Zr9 0.570 0.570 0.168
Zr10 0.662 0.662 0.967
Zr11 0.794 0.794 0.204
Zr12 0.804 0.804 0.692
Zr13 0.821 0.821 0.456
Zr14 0.998 0.998 0.336
As1 0.062 0.062 0.850
As2 0.177 0.177 0.109
As3 0.370 0.370 0.339
As4 0.372 0.372 0.600
As5 0.628 0.628 0.400
As6 0.630 0.630 0.661
As7 0.823 0.823 0.891
As8 0.938 0.938 0.150



Here is a crystal of IBr2F relaxed with PBEsol from Alexandria via LeMat-Bulk. Energies are from meta-GGA SCAN.

Output
**ΔE_f (raw)**: 238 meV per atom
**SG**: I-42d, No. 122

abc: 10.159 10.159 10.159
angles: 154.84 154.84 35.87
Element x y z (fractional)
I1 0.000 0.000 0.000
I2 0.750 0.250 0.500
Br1 0.120 0.625 0.995
Br2 0.375 0.370 0.495
Br3 0.630 0.125 0.005
Br4 0.875 0.880 0.505
F1 0.250 0.750 0.500
F2 0.500 0.500 0.000